# PBE-GGA HgAsRh2, optimized geometry
data_HgAsRh2
_chemical_formula_sum 'Hg2 As2 Rh4'
_cell_length_a 6.921
_cell_length_b 3.154
_cell_length_c 6.605
_cell_angle_alpha 90.00
_cell_angle_beta 102.12
_cell_angle_gamma 90.00
_space_group_name_H-M_alt 'C 1 2/m 1'
_space_group_IT_number 12
_space_group_name_Hall '-C 2y'
loop_
_atom_site_label
_atom_site_type_symbol
_atom_site_fract_x
_atom_site_fract_y
_atom_site_fract_z
Hg1 Hg 0.000 0.000 0.000
As1 As 0.000 0.500 0.500
Rh1 Rh 0.241 0.000 0.694
# Energy of formation, meV/atom: -151
# Mass density, Mg/m³: 11.341
# Magnetization, μB per cell: 0.00



# PBE-GGA Hg2AsRh, optimized geometry
data_Hg2AsRh
_chemical_formula_sum 'Hg6 As3 Rh3'
_cell_length_a 3.1639
_cell_length_b 3.1639
_cell_length_c 27.3516
_cell_angle_alpha 90.00
_cell_angle_beta 90.00
_cell_angle_gamma 120.00
_space_group_name_H-M_alt 'R -3 m'
_space_group_IT_number 166
_space_group_name_Hall '-R 3 2"'
loop_
_atom_site_label
_atom_site_type_symbol
_atom_site_fract_x
_atom_site_fract_y
_atom_site_fract_z
Hg1 Hg 0.0000 0.0000 0.2445
As1 As 0.0000 0.0000 0.0000
Rh1 Rh 0.0000 0.0000 0.5000
# Energy of formation, meV/atom: 336
# Mass density, Mg/m³: 12.165
# Magnetization, μB per cell: 0.00